(1)
6
Lattice="-2.438 0.317 -2.306 1.098 -2.787 -1.544 -4.976 -3.903 7.188" Properties=species:S:1:pos:R:3 comment="LaCrC, relaxed, DFT PBE-GGA" e_form_ev_per_atom=-0.03 pbc="T T T"
C -0.832 -0.757 0.775
C -5.484 -5.617 2.563
La -4.043 -3.680 3.769
La -2.273 -2.694 -0.430
Cr -1.219 0.158 -1.153
Cr 0.549 -1.394 -0.772


(2)
4
Lattice="3.309 0.000 0.000 1.654 2.865 0.000 1.654 0.955 10.431" Properties=species:S:1:pos:R:3 comment="Ho2ScNi, relaxed, DFT PBE-GGA" e_form_ev_per_atom=0.37 pbc="T T T"
Sc 3.309 1.910 5.215
Ni 0.000 0.000 0.000
Ho 1.654 0.955 7.937
Ho 4.963 2.865 2.494